a | DFT (GGA-PBE) results for a relaxed structure of ZrP2OsS.

Lattice parameters (Å, degrees): 5.0356 5.0356 4.7743 90.00 90.00 90.00
Closest atoms and distances in Å follow each position.
Space group P4/mmm (No. 123)
Asymmetric unit:
Zr  0.0000  0.0000  0.0000 (multiplicity 1)  2 S 2.39, 4 P 2.52
P  0.0000  0.5000  0.0000 (multiplicity 2)  2 Zr 2.52
Os  0.5000  0.5000  0.5000 (multiplicity 1)  8 P 3.47, 4 S 3.56
S  0.0000  0.0000  0.5000 (multiplicity 1)  2 Zr 2.39

=====

b | DFT (GGA-PBE) results for a relaxed structure of ZrP2OsS.

Lattice parameters (Å, degrees): 4.4628 4.4628 4.9643 90.00 90.00 90.00
Closest atoms and distances in Å follow each position.
Space group P4/mmm (No. 123)
Asymmetric unit:
Zr  0.0000  0.0000  0.0000 (multiplicity 1)  4 S 3.16, 8 P 3.34
P  0.0000  0.5000  0.5000 (multiplicity 2)  2 Os 2.23
Os  0.5000  0.5000  0.5000 (multiplicity 1)  4 P 2.23, 2 S 2.48
S  0.5000  0.5000  0.0000 (multiplicity 1)  2 Os 2.48

=====

Compare the structures above. Which one is the most stable? b is.